(1)
DFT (GGA-PBE) results for a relaxed structure of BBr2F2.

Spin magnetization   0.764 μB/cell
Polymorph energy (0 for the lowest one)   18.747 kcal/mol of atoms

Cell lengths 3.8037, 3.8037, 8.3421 Å; angles 76.82, 76.82, 90.00 degrees
Site moments in Bohr magnetons follow the coordinates.
Sites, in units of the cell vectors:
B 0.0000 0.0000 0.0000  0.02
Br 0.2500 0.7500 0.5000  0.01
F 0.5657 0.5657 0.8686  -0.38
Br 0.7500 0.2500 0.5000  0.01
F 0.4343 0.4343 0.1314  -0.38

***

(2)
DFT (GGA-PBE) results for a relaxed structure of BBr2F.

Spin magnetization   0.000 μB/cell
Polymorph energy (0 for the lowest one)   2.572 kcal/mol of atoms

Cell lengths 6.1042, 6.1042, 5.7216 Å; angles 57.76, 57.76, 90.00 degrees
Sites, in units of the cell vectors:
F 0.7500 0.2500 0.5000
Br 0.5481 0.1250 0.2500
B 0.5000 0.5000 0.0000
Br 0.3750 0.4519 0.7500
Br 0.8750 0.7981 0.7500
Br 0.2019 0.6250 0.2500
B 0.2500 0.7500 0.5000
F 0.0000 0.0000 0.0000

***

(3)
DFT (GGA-PBE) results for a relaxed structure of BBr2F.

Spin magnetization   0.000 μB/cell
Polymorph energy (0 for the lowest one)   27.432 kcal/mol of atoms

Cell lengths 4.4585, 4.4585, 4.4585 Å; angles 60.00, 60.00, 60.00 degrees
Sites, in units of the cell vectors:
Br 0.2500 0.2500 0.2500
F 0.5000 0.5000 0.5000
B 0.0000 0.0000 0.0000
Br 0.7500 0.7500 0.7500

***

(4)
DFT (GGA-PBE) results for a relaxed structure of BBr2F.

Spin magnetization   0.000 μB/cell
Polymorph energy (0 for the lowest one)   0.000 kcal/mol of atoms

Cell lengths 7.2789, 7.2789, 7.2789 Å; angles 32.55, 32.55, 32.55 degrees
Sites, in units of the cell vectors:
B 0.0000 0.0000 0.0000
F 0.5000 0.5000 0.5000
Br 0.9143 0.9143 0.9143
Br 0.0857 0.0857 0.0857

***

Record order is preserved below.
Raw total energy: -2.018, -3.101, -2.023, -3.212 eV/atom
Record order is preserved below.
Energy relative to the elements, uncorrected: 70.90, -12.27, 91.74, -23.04 kJ/mol of atoms